The following is a PBE calculation of a relaxed structure of SrPr2Nd, from Alexandria via LeMat-Bulk.

Geometry as POSCAR:
```
SrPr2Nd
1.0
-0.364 -0.900 -3.593
2.556 -2.145 -1.650
-6.148 -11.825 1.656
Sr Pr Nd
1 2 1
Direct
0.000 0.000 0.000 Sr
0.092 0.092 0.723 Pr
0.908 0.908 0.277 Pr
0.500 0.500 0.500 Nd
```

## Properties
polymorph energy (0 for the lowest one) = 91.6 meV per atom
D(E_F) = 6.127 states/eV/cell